GaPt3F: optimized geometry, GGA-PBE.

abc: 4.668 4.668 4.668
angles: 90.00 90.00 90.00
Element x y z (fractional)
Ga: 0.000 0.000 0.000
Pt: 0.000 0.000 0.500
Pt: 0.500 0.000 0.000
F: 0.500 0.500 0.500
Pt: 0.000 0.500 0.000

Computed properties:
**Final energy**: -3.908 eV per atom
**Total moment**: 0.000 μB per atom
**Formation energy from raw total energies**: 336 kJ/mol of formula units
**Crystal system**: cubic